# 1
Here is Hg2PI after structural relaxation from Alexandria via LeMat-Bulk. Energies are from PBE.

Calculated values
Spin magnetization = 0.0 Bohr magnetons per cell
ΔE_f (raw) = 0.6762 eV/atom
DFT total energy = -1.215 eV per atom

a = 7.4572 Å, b = 7.4572 Å, c = 7.4572 Å
α = 90.00°, β = 90.00°, γ = 90.00°
Space group Fm-3m (No. 225)
Asymmetric unit:
Hg 0.2500 0.2500 0.2500 x8
P 0.0000 0.0000 0.0000 x4
I 0.0000 0.0000 0.5000 x4



# 2
Here is Hg2PI after structural relaxation from Alexandria via LeMat-Bulk. Energies are from PBE.

Calculated values
Spin magnetization = 0.0 Bohr magnetons per cell
ΔE_f (raw) = -0.0987 eV/atom
DFT total energy = -1.990 eV per atom

a = 4.5793 Å, b = 7.3534 Å, c = 8.7575 Å
α = 102.39°, β = 90.00°, γ = 90.20°
Space group P-1 (No. 2)
Asymmetric unit:
Hg 0.0001 0.0135 0.3504 x2
Hg 0.4975 0.7351 0.9189 x2
P 0.0014 0.1229 0.0966 x2
I 0.4981 0.6621 0.2550 x2



# 3
Here is Hg2PI after structural relaxation from Alexandria via LeMat-Bulk. Energies are from PBE.

Calculated values
Spin magnetization = 0.0 Bohr magnetons per cell
ΔE_f (raw) = -0.0674 eV/atom
DFT total energy = -1.958 eV per atom

a = 5.9316 Å, b = 5.9726 Å, c = 8.4745 Å
α = 73.70°, β = 89.41°, γ = 79.56°
Space group P1 (No. 1)
Asymmetric unit:
Hg 0.0000 0.0000 0.0000 x1
Hg 0.0649 0.3295 0.3399 x1
Hg 0.3530 0.4673 0.5933 x1
Hg 0.5129 0.4839 0.9896 x1
P 0.1008 0.5608 0.0547 x1
P 0.9053 0.4358 0.8886 x1
I 0.4986 0.8965 0.2051 x1
I 0.9099 0.0032 0.5840 x1